Entry from the Alexandria database: a geometry-optimized Ce3Pr4HoS8 structure (GGA-PBE).

Computed properties:
**D(E_F)**: 1.17 states/eV per atom
**Total magnetic moment**: 0.131 μB/atom
**Uncorrected energy**: -6.68 eV/atom

POSCAR file:
```
Ce3Pr4HoS8
1.0
8.0976 0.0000 0.0000
0.0000 8.0966 -0.0066
-4.0488 -4.0451 5.7287
S Pr Ce Ho
8 4 3 1
direct
0.2431 0.7385 0.9954
0.7569 0.2615 0.5138
0.7569 0.2615 0.0046
0.2477 0.2615 0.0046
0.2431 0.7385 0.4862
0.7523 0.7385 0.9954
0.2521 0.2564 0.5042
0.7479 0.7436 0.4958
0.0000 0.0000 0.5000
0.5000 0.0000 0.0000
0.0000 0.0000 0.0000
0.5000 0.0000 0.5000
0.5000 0.5000 0.5000
0.5000 0.5000 0.0000
0.0000 0.5000 0.5000
0.0000 0.5000 0.0000
```


Entry from the Alexandria database: a geometry-optimized Mg2TlTe structure (GGA-PBE).

Computed properties:
**D(E_F)**: 0.37 states/eV per atom
**Total magnetic moment**: 0.000 μB/atom
**Uncorrected energy**: -2.36 eV/atom
**Distance to the lowest polymorph of the same formula**: 98 meV/atom

POSCAR file:
```
Mg2TlTe
1.0
-0.2090 3.9720 -3.3472
-4.3400 0.7688 2.7562
1.9883 2.2210 2.5114
Te Mg Tl
1 2 1
direct
0.5000 0.0000 0.5000
0.0000 0.0000 0.0000
0.5000 0.5000 0.0000
0.0000 0.5000 0.5000
```


Entry from the Alexandria database: a geometry-optimized Bi3TeI7 structure (GGA-PBE).

Computed properties:
**D(E_F)**: 0.00 states/eV per atom
**Total magnetic moment**: 0.000 μB/atom
**Uncorrected energy**: -2.76 eV/atom

POSCAR file:
```
Bi3TeI7
1.0
7.5020 0.0000 0.0000
0.0000 8.8887 0.0000
0.0000 -4.4444 7.6978
Bi I Te
3 7 1
direct
0.7774 0.4951 0.9901
0.7774 0.0099 0.5049
0.7774 0.4951 0.5049
0.5447 0.8322 0.1678
0.0393 0.6667 0.3333
0.0236 0.1687 0.3374
0.0236 0.6626 0.8313
0.0236 0.1687 0.8313
0.5447 0.3356 0.1678
0.5447 0.8322 0.6644
0.5390 0.3333 0.6667
```


Entry from the Alexandria database: a geometry-optimized SrAsH2Pt structure (GGA-PBE).

Computed properties:
**D(E_F)**: 0.26 states/eV per atom
**Total magnetic moment**: 0.000 μB/atom
**Uncorrected energy**: -3.96 eV/atom

POSCAR file:
```
SrAsH2Pt
1.0
-3.2240 -2.6345 0.3821
2.8521 -3.7058 -1.4858
1.0864 -0.7541 3.9663
H As Pt Sr
2 1 1 1
direct
0.5000 0.0000 0.0000
0.0000 0.0000 0.5000
0.0000 0.0000 0.0000
0.0000 0.5000 0.0000
0.5000 0.5000 0.5000
```